ZnFe2Co3 | the Alexandria database | PBE-GGA | relaxed; SG = Cmmm; E_form = -45 meV per atom; magnetization = 1.590 μB per atom; uncorrected energy = -39.8 eV for the cell shown
1.0
-1.7380 2.2998 -0.1029
-2.5003 -1.7734 2.5943
4.2477 3.3569 3.2803
Fe Co Zn
2 3 1
direct
0.0000 0.3354 0.6708
0.0000 0.6646 0.3292
0.5000 0.8272 0.6544
0.5000 0.5000 0.0000
0.5000 0.1728 0.3456
0.0000 0.0000 0.0000

ZnFeCo2 | the Alexandria database | PBE-GGA | relaxed; SG = R3m; E_form = 41 meV per atom; magnetization = 1.354 μB per atom; uncorrected energy = -23.8 eV for the cell shown
1.0
2.5781 0.0000 0.0000
1.2890 2.2327 0.0000
1.2890 0.7442 8.2007
Co Fe Zn
2 1 1
direct
0.2532 0.2532 0.2403
0.0802 0.0802 0.7595
0.6667 0.6667 0.9999
0.4999 0.4999 0.5003

Zn2Fe2Co15 | the Alexandria database | PBE-GGA | relaxed; offset from the most stable computed form = 3.7 kJ per mole of atoms; SG = R-3m; E_form = 190 meV per atom; magnetization = 1.544 μB per atom; uncorrected energy = -122.5 eV for the cell shown
1.0
6.1636 -0.0140 -0.0124
0.7858 6.1133 -0.0124
0.7858 0.6897 6.0743
Co Zn Fe
15 2 2
direct
0.7042 0.0000 0.2958
0.7042 0.2958 0.0000
0.2958 0.0000 0.7042
0.3604 0.8424 0.3604
0.0000 0.2958 0.7042
0.6396 0.1576 0.6396
0.1576 0.6396 0.6396
0.5000 0.0000 0.0000
0.0000 0.0000 0.5000
0.2958 0.7042 0.0000
0.3604 0.3604 0.8424
0.0000 0.7042 0.2958
0.8424 0.3604 0.3604
0.0000 0.5000 0.0000
0.6396 0.6396 0.1576
0.8898 0.8898 0.8898
0.1102 0.1102 0.1102
0.3730 0.3730 0.3730
0.6270 0.6270 0.6270

ZnFeCo3 | the Alexandria database | PBE-GGA | relaxed; offset from the most stable computed form = 0.0 kJ per mole of atoms; SG = Pnna; E_form = 225 meV per atom; magnetization = 1.409 μB per atom; uncorrected energy = -119.7 eV for the cell shown
1.0
-3.0906 3.0066 -0.1747
-5.6481 -5.9292 -2.1217
-1.4245 -1.0701 6.7826
Co Fe Zn
12 4 4
direct
0.9555 0.7344 0.0833
0.9555 0.7656 0.4167
0.4545 0.7500 0.2500
0.0445 0.2656 0.9167
0.4555 0.7344 0.9167
0.0445 0.2344 0.5833
0.4555 0.7656 0.5833
0.0455 0.2500 0.2500
0.5445 0.2344 0.4167
0.9545 0.7500 0.7500
0.5445 0.2656 0.0833
0.5455 0.2500 0.7500
0.2500 0.0000 0.3954
0.2500 0.5000 0.1046
0.7500 0.5000 0.8954
0.7500 0.0000 0.6046
0.7500 0.0000 0.1680
0.2500 0.0000 0.8320
0.7500 0.5000 0.3320
0.2500 0.5000 0.6680

ZnFeCo2 | the Alexandria database | PBE-GGA | relaxed; SG = Cmmm; E_form = 22 meV per atom; magnetization = 1.411 μB per atom; uncorrected energy = -23.9 eV for the cell shown
1.0
-1.3186 -2.1121 0.2706
0.5847 0.3144 -2.4150
6.8419 -4.1281 1.1192
Zn Co Fe
1 2 1
direct
0.5000 0.5000 0.7500
0.0000 0.0000 0.4897
0.0000 0.0000 0.0103
0.5000 0.5000 0.2500

Zn2FeCo2 | the Alexandria database | PBE-GGA | relaxed; offset from the most stable computed form = 0.0 kJ per mole of atoms; SG = P4/mbm; E_form = 173 meV per atom; magnetization = 0.875 μB per atom; uncorrected energy = -48.7 eV for the cell shown
1.0
-0.4079 -3.9859 4.4489
5.9000 -0.9651 -0.3238
0.5662 2.6478 2.4241
Zn Co Fe
4 4 2
direct
0.6696 0.8304 0.5000
0.8304 0.3304 0.5000
0.1696 0.6696 0.5000
0.3304 0.1696 0.5000
0.8676 0.6324 0.0000
0.1324 0.3676 0.0000
0.6324 0.1324 0.0000
0.3676 0.8676 0.0000
0.5000 0.5000 0.0000
0.0000 0.0000 0.0000

Question: The lowest uncorrected energy belongs to which entry?
Answer: Zn2Fe2Co15

Question: Among the records above, which one has the lowest uncorrected energy?
Answer: Zn2Fe2Co15

Question: Which value of E_form does entry 4 give?
Answer: 225 meV per atom

Copy entry 4 word for word.
ZnFeCo3 | the Alexandria database | PBE-GGA | relaxed; offset from the most stable computed form = 0.0 kJ per mole of atoms; SG = Pnna; E_form = 225 meV per atom; magnetization = 1.409 μB per atom; uncorrected energy = -119.7 eV for the cell shown
1.0
-3.0906 3.0066 -0.1747
-5.6481 -5.9292 -2.1217
-1.4245 -1.0701 6.7826
Co Fe Zn
12 4 4
direct
0.9555 0.7344 0.0833
0.9555 0.7656 0.4167
0.4545 0.7500 0.2500
0.0445 0.2656 0.9167
0.4555 0.7344 0.9167
0.0445 0.2344 0.5833
0.4555 0.7656 0.5833
0.0455 0.2500 0.2500
0.5445 0.2344 0.4167
0.9545 0.7500 0.7500
0.5445 0.2656 0.0833
0.5455 0.2500 0.7500
0.2500 0.0000 0.3954
0.2500 0.5000 0.1046
0.7500 0.5000 0.8954
0.7500 0.0000 0.6046
0.7500 0.0000 0.1680
0.2500 0.0000 0.8320
0.7500 0.5000 0.3320
0.2500 0.5000 0.6680